No. 1
A plane-wave DFT calculation with PBE was carried out for a relaxed Rb3Ni2Cl9 crystal. Values from VASP.

ΔE_f (raw): -1122 meV/atom
Density of states at the Fermi level: 15.62 states/eV per cell

Cell and atoms, written as Quantum ESPRESSO input:
```
&SYSTEM
  ibrav = 0, nat = 28, ntyp = 3
/
ATOMIC_SPECIES
Rb 85.47 Rb.upf
Ni 58.69 Ni.upf
Cl 35.45 Cl.upf
CELL_PARAMETERS angstrom
-4.2251 -7.0650 -4.5919
4.8903 -0.3403 -8.0510
5.8949 -7.1879 1.5603
ATOMIC_POSITIONS crystal
Rb 0.4087 0.7500 0.0913
Rb 0.2500 0.9087 0.5913
Rb 0.9087 0.5913 0.2500
Rb 0.0913 0.4087 0.7500
Rb 0.7500 0.0913 0.4087
Rb 0.5913 0.2500 0.9087
Ni 0.1723 0.1723 0.1723
Ni 0.6723 0.6723 0.6723
Ni 0.8277 0.8277 0.8277
Ni 0.3277 0.3277 0.3277
Cl 0.7305 0.8916 0.0527
Cl 0.1084 0.9473 0.2695
Cl 0.2500 0.4033 0.0967
Cl 0.6084 0.7695 0.4473
Cl 0.5967 0.9033 0.7500
Cl 0.9033 0.7500 0.5967
Cl 0.2305 0.5527 0.3916
Cl 0.5527 0.3916 0.2305
Cl 0.9473 0.2695 0.1084
Cl 0.0527 0.7305 0.8916
Cl 0.4473 0.6084 0.7695
Cl 0.4033 0.0967 0.2500
Cl 0.7695 0.4473 0.6084
Cl 0.0967 0.2500 0.4033
Cl 0.3916 0.2305 0.5527
Cl 0.7500 0.5967 0.9033
Cl 0.8916 0.0527 0.7305
Cl 0.2695 0.1084 0.9473
```

No. 2
A plane-wave DFT calculation with PBE was carried out for a relaxed Rb2Ni2Cl7 crystal. Values from VASP.

ΔE_f (raw): -992 meV/atom

Cell and atoms, written as Quantum ESPRESSO input:
```
&SYSTEM
  ibrav = 0, nat = 11, ntyp = 3
/
ATOMIC_SPECIES
Rb 85.47 Rb.upf
Ni 58.69 Ni.upf
Cl 35.45 Cl.upf
CELL_PARAMETERS angstrom
6.2252 -0.6705 -0.4892
-0.9479 8.1615 -1.4584
-1.0135 0.4528 8.2705
ATOMIC_POSITIONS crystal
Rb 0.5000 0.8183 0.1817
Rb 0.5000 0.1817 0.8183
Ni 0.0896 0.2177 0.2177
Ni 0.9104 0.7823 0.7823
Cl 0.2727 0.4182 0.1200
Cl 0.7273 0.8800 0.5818
Cl 0.7273 0.5818 0.8800
Cl 0.2727 0.1200 0.4182
Cl 0.2375 0.7563 0.7563
Cl 0.0000 0.0000 0.0000
Cl 0.7625 0.2437 0.2437
```

No. 3
A plane-wave DFT calculation with PBE was carried out for a relaxed RbNiCl crystal. Values from VASP.

Energy relative to the lowest polymorph listed for this composition: 0.018 eV/atom
ΔE_f (raw): -559 meV/atom
Density of states at the Fermi level: 4.33 states/eV per cell

Cell and atoms, written as Quantum ESPRESSO input:
```
&SYSTEM
  ibrav = 0, nat = 6, ntyp = 3
/
ATOMIC_SPECIES
Ni 58.69 Ni.upf
Rb 85.47 Rb.upf
Cl 35.45 Cl.upf
CELL_PARAMETERS angstrom
3.7046 -0.0317 0.0017
0.1947 3.7011 0.0026
1.7589 -1.8824 10.8451
ATOMIC_POSITIONS crystal
Ni 0.1529 0.3923 0.5280
Ni 0.7232 0.9634 0.5282
Rb 0.7600 0.3550 0.8790
Rb 0.5703 0.5455 0.2566
Cl 0.1648 0.9508 0.0685
Cl 0.3522 0.7627 0.6961
```

No. 4
A plane-wave DFT calculation with PBE was carried out for a relaxed Rb4NiCl6 crystal. Values from VASP.

ΔE_f (raw): -1541 meV/atom

Cell and atoms, written as Quantum ESPRESSO input:
```
&SYSTEM
  ibrav = 0, nat = 22, ntyp = 3
/
ATOMIC_SPECIES
Rb 85.47 Rb.upf
Ni 58.69 Ni.upf
Cl 35.45 Cl.upf
CELL_PARAMETERS angstrom
8.8940 0.0000 0.0000
0.0000 8.8940 0.0000
0.0000 0.0000 9.2873
ATOMIC_POSITIONS crystal
Rb 0.3250 0.1750 0.2500
Rb 0.1750 0.6750 0.7500
Rb 0.6750 0.8250 0.7500
Rb 0.8250 0.3250 0.7500
Rb 0.3250 0.1750 0.7500
Rb 0.1750 0.6750 0.2500
Rb 0.8250 0.3250 0.2500
Rb 0.6750 0.8250 0.2500
Ni 0.5000 0.5000 0.0000
Ni 0.0000 0.0000 0.5000
Cl 0.2724 0.9181 0.5000
Cl 0.7724 0.5819 0.0000
Cl 0.5819 0.2276 0.0000
Cl 0.0819 0.2724 0.5000
Cl 0.0000 0.0000 0.2408
Cl 0.5000 0.5000 0.2592
Cl 0.4181 0.7724 0.0000
Cl 0.0000 0.0000 0.7592
Cl 0.2276 0.4181 0.0000
Cl 0.5000 0.5000 0.7408
Cl 0.9181 0.7276 0.5000
Cl 0.7276 0.0819 0.5000
```

No. 5
A plane-wave DFT calculation with PBE was carried out for a relaxed RbNiCl crystal. Values from VASP.

Energy relative to the lowest polymorph listed for this composition: 0.062 eV/atom
ΔE_f (raw): -515 meV/atom
Density of states at the Fermi level: 0.00 states/eV per cell

Cell and atoms, written as Quantum ESPRESSO input:
```
&SYSTEM
  ibrav = 0, nat = 6, ntyp = 3
/
ATOMIC_SPECIES
Ni 58.69 Ni.upf
Rb 85.47 Rb.upf
Cl 35.45 Cl.upf
CELL_PARAMETERS angstrom
15.4175 0.0000 -0.0175
5.6796 2.1317 -2.8384
-5.6796 2.1317 2.8384
ATOMIC_POSITIONS crystal
Ni 0.2597 0.8173 0.1827
Ni 0.4205 0.0798 0.9202
Rb 0.3256 0.4445 0.5555
Rb 0.9069 0.6094 0.3906
Cl 0.5313 0.4471 0.5529
Cl 0.0010 0.1975 0.8025
```

No. 6
A plane-wave DFT calculation with PBE was carried out for a relaxed Rb3Ni2Cl8 crystal. Values from VASP.

ΔE_f (raw): -1178 meV/atom
Density of states at the Fermi level: 7.74 states/eV per cell

Cell and atoms, written as Quantum ESPRESSO input:
```
&SYSTEM
  ibrav = 0, nat = 13, ntyp = 3
/
ATOMIC_SPECIES
Rb 85.47 Rb.upf
Ni 58.69 Ni.upf
Cl 35.45 Cl.upf
CELL_PARAMETERS angstrom
6.6649 0.0000 2.5180
2.8568 6.0216 2.5180
0.0067 0.0042 10.0621
ATOMIC_POSITIONS crystal
Rb 0.0000 0.0000 0.0000
Rb 0.2096 0.2096 0.3712
Rb 0.7904 0.7904 0.6288
Ni 0.4091 0.4091 0.7728
Ni 0.5909 0.5909 0.2272
Cl 0.3296 0.3296 0.0112
Cl 0.6704 0.6704 0.9888
Cl 0.2667 0.7732 0.6934
Cl 0.7732 0.2667 0.6934
Cl 0.2667 0.2667 0.6934
Cl 0.2268 0.7333 0.3066
Cl 0.7333 0.2268 0.3066
Cl 0.7333 0.7333 0.3066
```

No. 7
A plane-wave DFT calculation with PBE was carried out for a relaxed RbNi3Cl crystal. Values from VASP.

Energy relative to the lowest polymorph listed for this composition: 1.326 eV/atom
ΔE_f (raw): 2085 meV/atom
Density of states at the Fermi level: 34.39 states/eV per cell

Cell and atoms, written as Quantum ESPRESSO input:
```
&SYSTEM
  ibrav = 0, nat = 5, ntyp = 3
/
ATOMIC_SPECIES
Ni 58.69 Ni.upf
Rb 85.47 Rb.upf
Cl 35.45 Cl.upf
CELL_PARAMETERS angstrom
-1.0834 4.4027 -2.0334
0.5851 -1.9496 -4.5331
-4.8142 -1.2277 -0.0933
ATOMIC_POSITIONS crystal
Ni 0.0000 0.5000 0.0000
Ni 0.0000 0.0000 0.5000
Ni 0.5000 0.0000 0.0000
Rb 0.0000 0.0000 0.0000
Cl 0.5000 0.5000 0.5000
```

No. 8
A plane-wave DFT calculation with PBE was carried out for a relaxed RbNiCl crystal. Values from VASP.

Energy relative to the lowest polymorph listed for this composition: 0.470 eV/atom
ΔE_f (raw): -106 meV/atom
Density of states at the Fermi level: 3.24 states/eV per cell

Cell and atoms, written as Quantum ESPRESSO input:
```
&SYSTEM
  ibrav = 0, nat = 6, ntyp = 3
/
ATOMIC_SPECIES
Ni 58.69 Ni.upf
Rb 85.47 Rb.upf
Cl 35.45 Cl.upf
CELL_PARAMETERS angstrom
-3.6830 1.7233 -2.2669
-0.5671 -4.0758 -2.1771
-5.7908 -3.0012 7.1269
ATOMIC_POSITIONS crystal
Ni 0.0000 0.5000 0.5364
Ni 0.5000 0.0000 0.4636
Rb 0.0000 0.5000 0.2054
Rb 0.5000 0.0000 0.7946
Cl 0.0000 0.0000 0.5000
Cl 0.5000 0.5000 0.5000
```

The lowest ΔE_f (raw) belongs to which entry? Rb4NiCl6

Which formula does entry 4 have? Rb4NiCl6

Copy entry 7 word for word.
A plane-wave DFT calculation with PBE was carried out for a relaxed RbNi3Cl crystal. Values from VASP.

Energy relative to the lowest polymorph listed for this composition: 1.326 eV/atom
ΔE_f (raw): 2085 meV/atom
Density of states at the Fermi level: 34.39 states/eV per cell

Cell and atoms, written as Quantum ESPRESSO input:
```
&SYSTEM
  ibrav = 0, nat = 5, ntyp = 3
/
ATOMIC_SPECIES
Ni 58.69 Ni.upf
Rb 85.47 Rb.upf
Cl 35.45 Cl.upf
CELL_PARAMETERS angstrom
-1.0834 4.4027 -2.0334
0.5851 -1.9496 -4.5331
-4.8142 -1.2277 -0.0933
ATOMIC_POSITIONS crystal
Ni 0.0000 0.5000 0.0000
Ni 0.0000 0.0000 0.5000
Ni 0.5000 0.0000 0.0000
Rb 0.0000 0.0000 0.0000
Cl 0.5000 0.5000 0.5000
```

Which formula does entry 2 have? Rb2Ni2Cl7